DFT (GGA+U) results for a geometry-optimized Li3PuNi2O6 structure.

POSCAR file:
```
Li3PuNi2O6
1.0
2.6346 -4.6212 0.0000
2.6346 4.6212 0.0000
-1.6230 0.0000 4.9954
Li Pu Ni O
3 1 2 6
Direct
0.0000 0.0000 0.0000 Li
0.3123 0.6877 0.0000 Li
0.6877 0.3123 0.0000 Li
0.5000 0.5000 0.5000 Pu
0.1671 0.8329 0.5000 Ni
0.8329 0.1671 0.5000 Ni
0.0872 0.4249 0.2613 O
0.2366 0.2366 0.7340 O
0.4249 0.0872 0.2613 O
0.5751 0.9128 0.7387 O
0.7634 0.7634 0.2660 O
0.9128 0.5751 0.7387 O
```

Properties
Theoretical density, g cm⁻³: 6.53
SG: C2/m
Total DFT energy (no corrections), eV/atom: -6.512